Here is an optimized crystal structure of AlSiAg from OQMD via LeMat-Bulk. Energies are from GGA-PBE.

It has space group Pnma (No. 62), with a = 6.675 Å, b = 3.991 Å, c = 7.791 Å, α = 90.00°, β = 90.00° and γ = 90.00°. The inequivalent atoms are Al at (0.148, 0.250, 0.059), Si at (0.224, 0.750, 0.863) and Ag at (0.040, 0.250, 0.638).

The total energy is -3.84 eV/atom.